Density functional theory data (PBE) for PuMgGaPt after structural relaxation.

Cell lengths 4.8316, 4.8316, 4.8316 Å; angles 60.00, 60.00, 60.00 degrees
Closest atoms and distances in Å follow each position.
Fractional coordinates of all 4 atoms:
Mg 0.0000 0.0000 0.0000  4 Pt 2.96, 4 Ga 2.96
Ga 0.7500 0.7500 0.7500  4 Mg 2.96, 4 Pu 2.96
Pt 0.2500 0.2500 0.2500  4 Mg 2.96, 4 Pu 2.96
Pu 0.5000 0.5000 0.5000  4 Ga 2.96, 4 Pt 2.96

Values from the calculation:
Symmetry = F-43m
E_form = -0.519 eV per atom
Size of the total moment = 5.16 Bohr magnetons per cell
Final energy = -6.77 eV per atom
DOS(E_F) = 1.862 states/eV/atom

***

Density functional theory data (PBE) for Ti2BeGa2 after structural relaxation.

Cell lengths 6.3552, 6.3552, 3.9949 Å; angles 90.00, 90.00, 90.00 degrees
Closest atoms and distances in Å follow each position.
Fractional coordinates of all 10 atoms:
Be 0.0000 0.0000 0.0000  4 Ti 2.40
Be 0.5000 0.5000 0.0000  4 Ti 2.40
Ga 0.1536 0.6536 0.5000  6 Ti 2.63-2.80, 1 Ga 2.76
Ga 0.6536 0.8464 0.5000  6 Ti 2.63-2.80, 1 Ga 2.76
Ga 0.8464 0.3464 0.5000  6 Ti 2.63-2.80, 1 Ga 2.76
Ga 0.3464 0.1536 0.5000  6 Ti 2.63-2.80, 1 Ga 2.76
Ti 0.3446 0.8446 0.0000  2 Be 2.40, 2 Ga 2.63
Ti 0.8446 0.6554 0.0000  2 Be 2.40, 2 Ga 2.63
Ti 0.6554 0.1554 0.0000  2 Be 2.40, 2 Ga 2.63
Ti 0.1554 0.3446 0.0000  2 Be 2.40, 2 Ga 2.63

Values from the calculation:
Symmetry = P4/mbm
Offset from the most stable computed form = 379 meV/atom
E_form = 0.012 eV per atom
Size of the total moment = 0.00 Bohr magnetons per cell
Final energy = -5.10 eV per atom
DOS(E_F) = 1.125 states/eV/atom

***

Density functional theory data (PBE) for Ni2AgHg after structural relaxation.

Cell lengths 4.1867, 2.8708, 5.2797 Å; angles 74.27, 90.00, 90.00 degrees
Closest atoms and distances in Å follow each position.
Fractional coordinates of all 4 atoms:
Ag 0.0000 0.4603 0.4556  7 Ni 2.71-2.78, 2 Ag 2.87
Hg 0.5000 0.7921 0.7895  7 Ni 2.73-2.76, 2 Hg 2.87, 4 Ag 3.05-3.06
Ni 0.0000 0.1839 0.0026  2 Ni 2.45, 2 Ag 2.71-2.72
Ni 0.5000 0.0637 0.2523  2 Ni 2.45, 1 Hg 2.73, 2 Ag 2.74

Values from the calculation:
Symmetry = Pm
E_form = 0.270 eV per atom
Size of the total moment = 0.08 Bohr magnetons per cell
Final energy = -3.41 eV per atom
DOS(E_F) = 1.385 states/eV/atom

***

Density functional theory data (PBE) for BaSrLa2Rh after structural relaxation.

Cell lengths 5.6761, 5.6761, 6.4538 Å; angles 90.00, 90.00, 90.00 degrees
Closest atoms and distances in Å follow each position.
Fractional coordinates of all 5 atoms:
Sr 0.5000 0.5000 0.5000  4 Ba 4.01, 8 La 4.30
Rh 0.0000 0.0000 0.0000  4 La 2.84
Ba 0.0000 0.0000 0.5000  2 Rh 3.23
La 0.0000 0.5000 0.0000  2 Rh 2.84
La 0.5000 0.0000 0.0000  2 Rh 2.84

Values from the calculation:
Symmetry = P4/mmm
Offset from the most stable computed form = 32 meV/atom
E_form = -0.219 eV per atom
Size of the total moment = 0.00 Bohr magnetons per cell
Final energy = -4.38 eV per atom
DOS(E_F) = 0.885 states/eV/atom

***

Density functional theory data (PBE) for La3Pr3Nd2 after structural relaxation.

Cell lengths 5.2531, 5.2566, 11.1348 Å; angles 103.65, 103.64, 90.00 degrees
Closest atoms and distances in Å follow each position.
Fractional coordinates of all 8 atoms:
La 0.6251 0.6251 0.2501  4 Nd 3.71-3.72, 6 Pr 3.71-3.72, 2 La 3.71
La 0.3749 0.3749 0.7499  4 Nd 3.71-3.72, 6 Pr 3.71-3.72, 2 La 3.71
La 0.5000 0.0000 0.0000  4 La 3.71, 8 Pr 3.72-3.74
Pr 0.1267 0.1267 0.2533  4 Nd 3.68-3.70, 6 La 3.72-3.74, 2 Pr 3.74
Pr 0.0000 0.5000 0.0000  8 La 3.71-3.72, 4 Pr 3.74
Pr 0.8733 0.8733 0.7467  4 Nd 3.68-3.70, 6 La 3.72-3.74, 2 Pr 3.74
Nd 0.7495 0.2495 0.4989  4 Pr 3.68-3.70, 4 La 3.71-3.72, 4 Nd 3.72
Nd 0.2505 0.7505 0.5011  4 Pr 3.68-3.70, 4 La 3.71-3.72, 4 Nd 3.72

Values from the calculation:
Symmetry = Immm
Offset from the most stable computed form = 0 meV/atom
E_form = 0.010 eV per atom
Size of the total moment = 0.00 Bohr magnetons per cell
Final energy = -4.82 eV per atom
DOS(E_F) = 1.732 states/eV/atom

***

Density functional theory data (PBE) for Pr7SmTl4 after structural relaxation.

Cell lengths 5.9552, 9.6089, 8.0771 Å; angles 74.05, 68.37, 71.95 degrees
Closest atoms and distances in Å follow each position.
Fractional coordinates of all 12 atoms:
Pr 0.7967 0.8821 0.5244  3 Pr 3.42-3.65, 4 Tl 3.50-3.63
Pr 0.2033 0.1179 0.4756  3 Pr 3.42-3.65, 4 Tl 3.50-3.63
Pr 0.0613 0.6073 0.2702  3 Tl 3.29-3.37, 3 Pr 3.42-3.65
Pr 0.9387 0.3927 0.7298  3 Tl 3.29-3.37, 3 Pr 3.42-3.65
Pr 0.2750 0.6628 0.7871  4 Tl 3.11-3.25
Pr 0.5000 0.0000 0.0000  2 Sm 2.98, 4 Tl 3.11-3.26
Pr 0.7250 0.3372 0.2129  4 Tl 3.11-3.25
Sm 0.0000 0.0000 0.0000  2 Pr 2.98
Tl 0.5569 0.2534 0.6327  4 Pr 3.11-3.37, 1 Tl 3.27
Tl 0.4431 0.7466 0.3673  4 Pr 3.11-3.37, 1 Tl 3.27
Tl 0.6864 0.6665 0.9608  5 Pr 3.11-3.29, 1 Tl 3.27
Tl 0.3136 0.3335 0.0392  5 Pr 3.11-3.29, 1 Tl 3.27

Values from the calculation:
Symmetry = C2/m
E_form = -0.084 eV per atom
Size of the total moment = 0.00 Bohr magnetons per cell
Final energy = -4.05 eV per atom
DOS(E_F) = 1.077 states/eV/atom

***

> Among the records above, which one has the highest final energy?

Ni2AgHg

***

> Which value of size of the total moment does entry 2 give?

0.00 Bohr magnetons per cell

***

Repeat the sixth record exactly.
Density functional theory data (PBE) for Pr7SmTl4 after structural relaxation.

Cell lengths 5.9552, 9.6089, 8.0771 Å; angles 74.05, 68.37, 71.95 degrees
Closest atoms and distances in Å follow each position.
Fractional coordinates of all 12 atoms:
Pr 0.7967 0.8821 0.5244  3 Pr 3.42-3.65, 4 Tl 3.50-3.63
Pr 0.2033 0.1179 0.4756  3 Pr 3.42-3.65, 4 Tl 3.50-3.63
Pr 0.0613 0.6073 0.2702  3 Tl 3.29-3.37, 3 Pr 3.42-3.65
Pr 0.9387 0.3927 0.7298  3 Tl 3.29-3.37, 3 Pr 3.42-3.65
Pr 0.2750 0.6628 0.7871  4 Tl 3.11-3.25
Pr 0.5000 0.0000 0.0000  2 Sm 2.98, 4 Tl 3.11-3.26
Pr 0.7250 0.3372 0.2129  4 Tl 3.11-3.25
Sm 0.0000 0.0000 0.0000  2 Pr 2.98
Tl 0.5569 0.2534 0.6327  4 Pr 3.11-3.37, 1 Tl 3.27
Tl 0.4431 0.7466 0.3673  4 Pr 3.11-3.37, 1 Tl 3.27
Tl 0.6864 0.6665 0.9608  5 Pr 3.11-3.29, 1 Tl 3.27
Tl 0.3136 0.3335 0.0392  5 Pr 3.11-3.29, 1 Tl 3.27

Values from the calculation:
Symmetry = C2/m
E_form = -0.084 eV per atom
Size of the total moment = 0.00 Bohr magnetons per cell
Final energy = -4.05 eV per atom
DOS(E_F) = 1.077 states/eV/atom

***

> What is the E_form in the fourth record?

-0.219 eV per atom